Here is a geometry-optimized InCo2Cu structure from Alexandria. Energies are from PBE.

Cell: 4.587 4.586 5.408 Å, 90.07 88.81 72.80°
Atoms (fractional coordinates):
Co: 0.399 0.590 0.701
Co: 0.914 0.619 0.960
Cu: 0.928 0.117 0.218
Co: 0.443 0.085 0.477
Co: 0.893 0.630 0.467
In: 0.929 0.120 0.715
In: 0.409 0.595 0.210
Cu: 0.429 0.091 0.966

## Properties
Total energy: -5.0711 eV per atom
Calculated density: 9.06 g/cm³
Calculated volume: 109 Å³/cell
Total moment: 0.6424 μB per atom